(1)
La8CuIr2 after structural relaxation. Source: Alexandria via LeMat-Bulk, functional PBE-GGA.

- E (eV/cell) = -64.27
- space group = Cm (8)
- magnetic moment (μB per cell) = 0.00
- N(E_F) (states/eV/atom) = 1.09

a = 6.751 Å, b = 7.525 Å, c = 7.525 Å
α = 105.86°, β = 100.70°, γ = 100.70°
Fractional positions:
1 Ir 0.495 0.686 0.318
2 Ir 0.495 0.318 0.686
3 Cu 0.237 0.027 0.027
4 La 0.626 0.352 0.074
5 La 0.626 0.074 0.352
6 La 0.206 0.369 0.369
7 La 0.951 0.186 0.808
8 La 0.951 0.808 0.186
9 La 0.764 0.643 0.643
10 La 0.325 0.933 0.637
11 La 0.325 0.637 0.933

=====

(2)
CsCeGeS4 after structural relaxation. Source: Alexandria via LeMat-Bulk, functional PBE-GGA.

- E (eV/cell) = -73.19
- space group = P2_1/m (11)
- formation energy without anion corrections (kJ/mol of formula units) = -838
- magnetic moment (μB per cell) = 2.00
- N(E_F) (states/eV/atom) = 1.17

a = 6.673 Å, b = 6.817 Å, c = 9.566 Å
α = 90.00°, β = 107.92°, γ = 90.00°
Fractional positions:
1 Cs 0.733 0.750 0.937
2 Cs 0.267 0.250 0.063
3 Ce 0.769 0.750 0.451
4 Ce 0.231 0.250 0.549
5 Ge 0.217 0.750 0.333
6 Ge 0.783 0.250 0.667
7 S 0.005 0.504 0.700
8 S 0.995 0.004 0.300
9 S 0.995 0.496 0.300
10 S 0.005 0.996 0.700
11 S 0.415 0.750 0.185
12 S 0.585 0.250 0.815
13 S 0.418 0.750 0.567
14 S 0.582 0.250 0.433

=====

(3)
Na2InAg after structural relaxation. Source: Alexandria via LeMat-Bulk, functional PBE-GGA.

- E (eV/cell) = -8.37
- space group = P4/mmm (123)
- magnetic moment (μB per cell) = 0.00
- N(E_F) (states/eV/atom) = 0.35

a = 4.989 Å, b = 4.426 Å, c = 4.426 Å
α = 90.00°, β = 90.00°, γ = 90.00°
Fractional positions:
1 Na 0.000 0.000 0.500
2 Na 0.000 0.500 0.000
3 Ag 0.500 0.000 0.000
4 In 0.500 0.500 0.500

=====

(4)
ZnTcCl2 after structural relaxation. Source: Alexandria via LeMat-Bulk, functional PBE-GGA.

- E (eV/cell) = -14.01
- space group = P4/mmm (123)
- formation energy without anion corrections (kJ/mol of formula units) = 128
- magnetic moment (μB per cell) = 2.49
- N(E_F) (states/eV/atom) = 0.92
- energy relative to the lowest polymorph listed for this composition (eV/atom) = 0.579

a = 3.078 Å, b = 3.079 Å, c = 9.174 Å
α = 90.00°, β = 90.00°, γ = 90.00°
Fractional positions:
1 Zn 0.500 0.500 0.750
2 Tc 0.500 0.500 0.250
3 Cl 0.000 0.000 0.080
4 Cl 0.000 0.000 0.420